1.
{
  "formula": "RuBr",
  "functional": "PBE-GGA",
  "state": "relaxed",
  "mass_density_g_cm3": 5.677,
  "raw_formation_energy_ev_per_atom": 0.52,
  "space_group": "I4/m",
  "polymorph_energy_ev_per_atom": 0.3131,
  "dft_energy_ev_per_atom": -4.951,
  "magnetic_moment_mub_per_fu": 0.00,
  "volume_a3_per_fu": 53,
  "lattice": [[-6.9354, 6.6041, 4.7793], [-7.3837, -7.7483, -0.0081], [1.1933, -1.1406, 3.3077]],
  "species": ["Ru", "Ru", "Ru", "Ru", "Ru", "Ru", "Ru", "Ru", "Br", "Br", "Br", "Br", "Br", "Br", "Br", "Br"],
  "fractional_positions": [[0.2896, 0.1945, 0.0000], [0.7104, 0.8055, 0.0000], [0.8055, 0.2896, 0.0000], [0.1945, 0.7104, 0.0000], [0.7896, 0.6945, 0.5000], [0.2104, 0.3055, 0.5000], [0.3055, 0.7896, 0.5000], [0.6945, 0.2104, 0.5000], [0.4818, 0.7568, 0.0000], [0.5182, 0.2432, 0.0000], [0.2432, 0.4818, 0.0000], [0.7568, 0.5182, 0.0000], [0.9818, 0.2568, 0.5000], [0.0182, 0.7432, 0.5000], [0.7432, 0.9818, 0.5000], [0.2568, 0.0182, 0.5000]]
}

2.
{
  "formula": "RuBr3",
  "functional": "PBE-GGA",
  "state": "relaxed",
  "mass_density_g_cm3": 4.535,
  "raw_formation_energy_ev_per_atom": -0.29,
  "space_group": "P6_3/mcm",
  "dft_energy_ev_per_atom": -3.862,
  "magnetic_moment_mub_per_fu": 0.30,
  "volume_a3_per_fu": 125,
  "lattice": [[6.9632, 0.0000, 0.0000], [-3.4816, 6.0303, 0.0000], [0.0000, 0.0000, 5.9437]],
  "species": ["Br", "Br", "Br", "Br", "Br", "Br", "Ru", "Ru"],
  "fractional_positions": [[0.2913, 0.0000, 0.2500], [0.0000, 0.2913, 0.2500], [0.7087, 0.7087, 0.2500], [0.7087, 0.0000, 0.7500], [0.0000, 0.7087, 0.7500], [0.2913, 0.2913, 0.7500], [0.0000, 0.0000, 0.0000], [0.0000, 0.0000, 0.5000]]
}

3.
{
  "formula": "RuBr",
  "functional": "PBE-GGA",
  "state": "relaxed",
  "mass_density_g_cm3": 6.756,
  "raw_formation_energy_ev_per_atom": 0.75,
  "space_group": "Imma",
  "polymorph_energy_ev_per_atom": 0.5442,
  "dft_energy_ev_per_atom": -4.720,
  "magnetic_moment_mub_per_fu": 0.00,
  "volume_a3_per_fu": 44,
  "lattice": [[7.9155, 0.0314, -0.0049], [6.3608, 4.7113, 0.0049], [-6.9561, -2.9192, 2.3972]],
  "species": ["Ru", "Ru", "Br", "Br"],
  "fractional_positions": [[0.4431, 0.4431, 0.0000], [0.3069, 0.8069, 0.5000], [0.0050, 0.0050, 0.0000], [0.7450, 0.2450, 0.5000]]
}

4.
{
  "formula": "RuBr3",
  "functional": "PBE-GGA",
  "state": "relaxed",
  "mass_density_g_cm3": 4.773,
  "raw_formation_energy_ev_per_atom": 0.32,
  "space_group": "I-42d",
  "dft_energy_ev_per_atom": -3.253,
  "magnetic_moment_mub_per_fu": 0.00,
  "volume_a3_per_fu": 119,
  "lattice": [[-3.9479, -4.8510, 3.6724], [5.1110, -5.0193, -1.1357], [2.6330, -3.7111, 5.0906]],
  "species": ["Ru", "Ru", "Br", "Br", "Br", "Br", "Br", "Br"],
  "fractional_positions": [[0.0000, 0.0000, 0.0000], [0.7500, 0.2500, 0.5000], [0.5000, 0.5000, 0.0000], [0.2500, 0.7500, 0.5000], [0.7255, 0.1250, 0.2500], [0.0245, 0.6250, 0.2500], [0.3750, 0.2745, 0.7500], [0.8750, 0.9755, 0.7500]]
}